1.
! La2AlPd (PBE, optimized geometry); values from VASP
&SYSTEM
  ibrav = 0, nat = 4, ntyp = 3
/
ATOMIC_SPECIES
Al 26.98 Al.upf
Pd 106.42 Pd.upf
La 138.91 La.upf
ATOMIC_POSITIONS crystal
Al 0.500 0.500 0.500
Pd 0.500 0.500 0.000
La 0.000 0.000 0.765
La 0.000 0.000 0.235
CELL_PARAMETERS angstrom
-3.055 -1.595 -1.335
-0.335 -1.964 3.114
-4.272 5.607 3.077
! Calculated volume = 26.27 Å³ per atom
! ρ = 6.50 g/cm³
! E_form = -52 kJ per mole of atoms
! Space group = P4/mmm, No. 123
! Spin magnetization = 0.00 μB/cell

---

2.
! LaAl6Pd4 (PBE, optimized geometry); values from VASP
&SYSTEM
  ibrav = 0, nat = 11, ntyp = 3
/
ATOMIC_SPECIES
La 138.91 La.upf
Al 26.98 Al.upf
Pd 106.42 Pd.upf
ATOMIC_POSITIONS crystal
La 0.000 0.000 0.000
Al 0.000 0.535 0.069
Al 0.500 0.595 0.797
Al 0.000 0.535 0.465
Al 0.000 0.931 0.465
Al 0.500 0.203 0.797
Al 0.500 0.203 0.405
Pd 0.500 0.797 0.595
Pd 0.500 0.405 0.203
Pd 0.500 0.797 0.203
Pd 0.000 0.333 0.667
CELL_PARAMETERS angstrom
4.132 0.000 0.000
0.000 7.309 0.000
0.000 -3.655 6.330
! Calculated volume = 17.38 Å³ per atom
! ρ = 6.31 g/cm³
! E_form = -78 kJ per mole of atoms
! Space group = P-6m2, No. 187
! Spin magnetization = 0.00 μB/cell

---

3.
! La2Al7Pd (PBE, optimized geometry); values from VASP
&SYSTEM
  ibrav = 0, nat = 10, ntyp = 3
/
ATOMIC_SPECIES
La 138.91 La.upf
Al 26.98 Al.upf
Pd 106.42 Pd.upf
ATOMIC_POSITIONS crystal
La 0.500 0.000 0.749
La 0.000 0.500 0.251
Al 0.000 0.500 0.874
Al 0.500 0.000 0.359
Al 0.500 0.000 0.126
Al 0.000 0.500 0.641
Al 0.000 0.000 0.500
Al 0.000 0.000 0.000
Al 0.500 0.500 0.500
Pd 0.500 0.500 0.000
CELL_PARAMETERS angstrom
-2.226 0.571 3.672
-3.306 -2.259 -1.652
4.340 -9.335 4.082
! Calculated volume = 20.78 Å³ per atom
! ρ = 4.58 g/cm³
! E_form = -51 kJ per mole of atoms
! Space group = P-4m2, No. 115
! Spin magnetization = 0.00 μB/cell

---

4.
! La2AlPd3 (PBE, optimized geometry); values from VASP
&SYSTEM
  ibrav = 0, nat = 12, ntyp = 3
/
ATOMIC_SPECIES
La 138.91 La.upf
Al 26.98 Al.upf
Pd 106.42 Pd.upf
ATOMIC_POSITIONS crystal
La 0.667 0.333 0.439
La 0.333 0.667 0.561
La 0.333 0.667 0.939
La 0.667 0.333 0.061
Al 0.000 0.000 0.500
Al 0.000 0.000 0.000
Pd 0.166 0.332 0.250
Pd 0.332 0.166 0.750
Pd 0.834 0.668 0.750
Pd 0.166 0.834 0.250
Pd 0.834 0.166 0.750
Pd 0.668 0.834 0.250
CELL_PARAMETERS angstrom
5.759 0.000 0.000
-2.880 4.988 0.000
0.000 0.000 8.545
! Calculated volume = 20.46 Å³ per atom
! ρ = 8.44 g/cm³
! E_form = -79 kJ per mole of atoms
! Relative energy among the computed polymorphs = 0.000 eV/atom
! Space group = P6_3/mmc, No. 194
! Spin magnetization = 0.00 μB/cell

---

5.
! La7Al2Pd2 (PBE, optimized geometry); values from VASP
&SYSTEM
  ibrav = 0, nat = 11, ntyp = 3
/
ATOMIC_SPECIES
La 138.91 La.upf
Al 26.98 Al.upf
Pd 106.42 Pd.upf
ATOMIC_POSITIONS crystal
La 0.000 0.275 0.500
La 0.500 0.725 0.000
La 0.000 0.725 0.500
La 0.500 0.275 0.000
La 0.000 0.000 0.000
La 0.500 0.720 0.500
La 0.500 0.280 0.500
Al 0.843 0.500 0.843
Al 0.157 0.500 0.157
Pd 0.709 0.000 0.291
Pd 0.291 0.000 0.709
CELL_PARAMETERS angstrom
7.022 -0.003 -0.881
0.003 7.180 0.004
-1.317 -0.002 6.953
! Calculated volume = 31.11 Å³ per atom
! ρ = 6.01 g/cm³
! E_form = -29 kJ per mole of atoms
! Space group = Cmmm, No. 65
! Spin magnetization = 0.00 μB/cell

---

6.
! LaAl2Pd5 (PBE, optimized geometry); values from VASP
&SYSTEM
  ibrav = 0, nat = 8, ntyp = 3
/
ATOMIC_SPECIES
La 138.91 La.upf
Al 26.98 Al.upf
Pd 106.42 Pd.upf
ATOMIC_POSITIONS crystal
La 0.000 0.000 0.000
Al 0.763 0.737 0.737
Al 0.237 0.263 0.263
Pd 0.000 0.500 0.500
Pd 0.645 0.554 0.157
Pd 0.355 0.446 0.843
Pd 0.355 0.843 0.446
Pd 0.645 0.157 0.554
CELL_PARAMETERS angstrom
3.975 0.000 0.000
1.988 6.193 0.549
1.988 1.678 5.987
! Calculated volume = 17.96 Å³ per atom
! ρ = 8.38 g/cm³
! E_form = -77 kJ per mole of atoms
! Space group = Immm, No. 71
! Spin magnetization = 0.00 μB/cell

---

7.
! La2AlPd (PBE, optimized geometry); values from VASP
&SYSTEM
  ibrav = 0, nat = 8, ntyp = 3
/
ATOMIC_SPECIES
Al 26.98 Al.upf
Pd 106.42 Pd.upf
La 138.91 La.upf
ATOMIC_POSITIONS crystal
Al 0.500 0.500 0.000
Al 0.250 0.750 0.500
Pd 0.000 0.000 0.000
Pd 0.750 0.250 0.500
La 0.669 0.125 0.250
La 0.081 0.625 0.250
La 0.375 0.331 0.750
La 0.875 0.919 0.750
CELL_PARAMETERS angstrom
-0.508 3.969 7.348
5.427 -5.438 3.312
4.866 1.149 4.479
! Calculated volume = 27.75 Å³ per atom
! ρ = 6.15 g/cm³
! E_form = -24 kJ per mole of atoms
! Space group = I-42d, No. 122
! Spin magnetization = 0.00 μB/cell

---

8.
! La2AlPd2 (PBE, optimized geometry); values from VASP
&SYSTEM
  ibrav = 0, nat = 10, ntyp = 3
/
ATOMIC_SPECIES
La 138.91 La.upf
Al 26.98 Al.upf
Pd 106.42 Pd.upf
ATOMIC_POSITIONS crystal
La 0.852 0.687 0.704
La 0.148 0.313 0.296
La 0.648 0.983 0.296
La 0.352 0.017 0.704
Al 0.750 0.500 0.000
Al 0.250 0.500 0.000
Pd 0.396 0.634 0.793
Pd 0.604 0.366 0.207
Pd 0.104 0.842 0.207
Pd 0.896 0.158 0.793
CELL_PARAMETERS angstrom
-4.863 -2.484 -2.800
4.525 -3.776 -4.509
0.246 -1.138 7.307
! Calculated volume = 25.59 Å³ per atom
! ρ = 6.72 g/cm³
! E_form = -67 kJ per mole of atoms
! Space group = Ibam, No. 72
! Spin magnetization = 0.00 μB/cell